<1>
Below is crystalline NdDyGe at its relaxed geometry, with properties calculated at the GGA-PBE level.

a b c (Å): 4.280 4.763 4.763
angles (deg): 120.00 90.00 90.00
Fractional positions:
Dy 0.107 0.000 0.000
Nd 0.634 0.667 0.333
Ge 0.259 0.333 0.667

Output
* SG: P3m1, No. 156
* magnetic moment: 0.0 μB per cell


<2>
Below is crystalline NdDyGe at its relaxed geometry, with properties calculated at the GGA-PBE level.

a b c (Å): 8.183 8.183 8.183
angles (deg): 60.00 60.00 60.00
Site moments in Bohr magnetons follow the coordinates.
Fractional positions:
Dy 0.125 0.125 0.125  0.09
Dy 0.626 0.125 0.125  0.09
Dy 0.125 0.626 0.125  0.09
Dy 0.125 0.125 0.626  0.09
Nd 0.624 0.624 0.128  0.12
Nd 0.624 0.624 0.624  0.12
Nd 0.128 0.624 0.624  0.12
Nd 0.624 0.128 0.624  0.12
Ge 0.877 0.369 0.877  0.00
Ge 0.877 0.877 0.877  0.00
Ge 0.877 0.877 0.369  0.00
Ge 0.369 0.877 0.877  0.00

Output
* SG: F-43m, No. 216
* magnetic moment: 2.5 μB per cell


What should be chosen as the least stable of them? Choose <2>.


<1>
Below is crystalline Nd2DyGe at its relaxed geometry, with properties calculated at the GGA-PBE level.

a b c (Å): 3.698 3.698 11.265
angles (deg): 80.55 80.55 60.00
Site moments in Bohr magnetons follow the coordinates.
Fractional positions:
Nd 0.105 0.105 0.686  0.05
Nd 0.895 0.895 0.314  0.05
Dy 0.000 0.000 0.000  0.28
Ge 0.500 0.500 0.500  0.01

Output
* SG: R-3m, No. 166
* magnetic moment: 0.7 μB per cell


<2>
Below is crystalline Nd2DyGe at its relaxed geometry, with properties calculated at the GGA-PBE level.

a b c (Å): 4.819 4.746 4.746
angles (deg): 90.00 90.00 90.00
Fractional positions:
Nd 0.000 0.000 0.500
Nd 0.000 0.500 0.000
Dy 0.500 0.000 0.000
Ge 0.500 0.500 0.500

Output
* SG: P4/mmm, No. 123
* magnetic moment: 0.0 μB per cell


What should be chosen as the least stable of them? Choose <1>.